No. 1
Ce3Cu5Se12 | Alexandria via LeMat-Bulk | GGA-PBE | relaxed; VASP energy = -94.4 eV per formula unit; density = 6.0 g/cm³; raw formation energy = -0.72 eV/atom; V = 1872.9 Å³ per cell
1.0
-13.0279 1.9572 2.7086
6.1201 -5.0797 10.8458
5.7066 11.7269 -3.2873
Ce Cu Se
12 20 48
direct
0.7500 0.3750 0.1250
0.8750 0.7500 0.1250
0.3750 0.7500 0.6250
0.2500 0.1250 0.3750
0.8750 0.1250 0.2500
0.3750 0.6250 0.2500
0.6250 0.3750 0.7500
0.1250 0.8750 0.7500
0.7500 0.8750 0.6250
0.6250 0.2500 0.3750
0.1250 0.2500 0.8750
0.2500 0.6250 0.8750
0.1250 0.3750 0.2500
0.0000 0.5000 0.0000
0.0000 0.0000 0.0000
0.3750 0.2500 0.1250
0.5000 0.0000 0.5000
0.5000 0.5000 0.0000
0.1250 0.7500 0.3750
0.7500 0.1250 0.8750
0.7500 0.6250 0.3750
0.3750 0.1250 0.7500
0.6250 0.8750 0.2500
0.5000 0.5000 0.5000
0.5000 0.0000 0.0000
0.0000 0.0000 0.5000
0.2500 0.3750 0.6250
0.2500 0.8750 0.1250
0.0000 0.5000 0.5000
0.8750 0.2500 0.6250
0.6250 0.7500 0.8750
0.8750 0.6250 0.7500
0.7082 0.1224 0.0331
0.3249 0.5331 0.4107
0.9669 0.3776 0.2918
0.5331 0.2082 0.1224
0.5858 0.7082 0.6751
0.9669 0.5893 0.1751
0.3249 0.7918 0.4142
0.0893 0.9142 0.1224
0.5893 0.9669 0.6751
0.7082 0.5858 0.1751
0.7918 0.4669 0.3776
0.8249 0.9107 0.0331
0.1224 0.7082 0.5331
0.3776 0.4107 0.0858
0.0858 0.9107 0.3776
0.4142 0.1224 0.5893
0.0858 0.1751 0.2082
0.4669 0.6751 0.0893
0.8249 0.9142 0.2918
0.1224 0.4142 0.0893
0.3776 0.9669 0.7918
0.5893 0.6224 0.4142
0.9107 0.8249 0.5331
0.7918 0.3249 0.9142
0.4107 0.3776 0.5858
0.0893 0.1751 0.4669
0.2082 0.6751 0.0858
0.1751 0.0858 0.7082
0.6224 0.0331 0.2082
0.8776 0.5858 0.9107
0.5331 0.3249 0.9107
0.5858 0.8776 0.4107
0.9142 0.8249 0.7918
0.9142 0.0893 0.6224
0.8776 0.2918 0.4669
0.1751 0.0893 0.9669
0.6224 0.5893 0.9142
0.4107 0.0331 0.3249
0.2918 0.4142 0.8249
0.2082 0.5331 0.6224
0.9107 0.0858 0.8776
0.6751 0.2082 0.5858
0.4669 0.7918 0.8776
0.0331 0.4107 0.8249
0.4142 0.2918 0.3249
0.0331 0.6224 0.7082
0.6751 0.4669 0.5893
0.2918 0.8776 0.9669



No. 2
CeCuSe2 | Alexandria via LeMat-Bulk | GGA-PBE | relaxed; VASP energy = -21.2 eV per formula unit; density = 4.6 g/cm³; raw formation energy = -1.05 eV/atom; V = 130.7 Å³ per cell
1.0
-2.6780 -1.9860 -3.0189
1.6703 -3.1118 -2.7850
-1.9805 -7.0210 3.0253
Cu Se Ce
1 2 1
direct
0.0000 0.0000 0.0000
0.1009 0.1009 0.6973
0.8991 0.8991 0.3027
0.5000 0.5000 0.5000



No. 3
Ce5CuSe8 | Alexandria via LeMat-Bulk | GGA-PBE | relaxed; VASP energy = -83.8 eV per formula unit; density = 6.7 g/cm³; raw formation energy = -1.58 eV/atom; V = 346.1 Å³ per cell
1.0
-1.6220 0.6580 7.4611
-6.6584 -0.0982 -3.7930
3.9459 -6.4329 -1.3336
Ce Cu Se
5 1 8
direct
0.1157 0.2383 0.6219
0.2500 0.7500 0.5000
0.6164 0.4938 0.3781
0.5062 0.8843 0.1226
0.7617 0.3836 0.8774
0.0000 0.0000 0.0000
0.8641 0.7636 0.2623
0.3982 0.1359 0.8995
0.0230 0.6528 0.7573
0.2364 0.4987 0.1005
0.3472 0.1045 0.3702
0.5013 0.6018 0.7377
0.7343 0.9770 0.6298
0.8955 0.2657 0.2427



No. 4
CeCuSe2 | Alexandria via LeMat-Bulk | GGA-PBE | relaxed; VASP energy = -21.6 eV per formula unit; density = 6.0 g/cm³; raw formation energy = -1.15 eV/atom; V = 401.5 Å³ per cell
1.0
7.6204 0.0000 0.0000
0.0000 7.2012 -0.3466
0.0000 -3.7381 7.4962
Ce Cu Se
4 4 8
direct
0.1431 0.2695 0.0242
0.3569 0.7695 0.5242
0.8569 0.7305 0.9758
0.6431 0.2305 0.4758
0.7149 0.0827 0.8200
0.2149 0.4173 0.6800
0.2851 0.9173 0.1800
0.7851 0.5827 0.3200
0.4369 0.2279 0.7740
0.2065 0.8057 0.8645
0.9369 0.2721 0.7260
0.5631 0.7721 0.2260
0.7935 0.1943 0.1355
0.7065 0.6943 0.6355
0.2935 0.3057 0.3645
0.0631 0.7279 0.2740